Record 1
Density functional theory data (PBE) for TbNdAgRu after structural relaxation.

Structure (POSCAR):
```
TbNdAgRu
1.0
0.000 3.573 3.573
3.573 0.000 3.573
3.573 3.573 0.000
Tb Nd Ag Ru
1 1 1 1
Cartesian
0.000 0.000 0.000
3.573 3.573 3.573
5.360 5.360 5.360
1.787 1.787 1.787
```

**Space-group type**: No. 216
**Crystal system**: cubic
**Energy relative to the elements**: -5.84 kcal/mol of atoms

---

Record 2
Density functional theory data (PBE) for YTcO5 after structural relaxation.

Structure (POSCAR):
```
YTcO5
1.0
4.125 -3.970 0.000
4.125 3.970 0.000
-3.870 0.000 7.844
Y Tc O
2 2 10
Cartesian
0.000 0.000 0.000
-1.935 0.000 3.922
1.222 1.411 5.883
3.157 -1.411 1.961
1.222 3.418 5.883
0.223 1.766 7.376
0.011 0.415 5.080
2.222 1.766 4.390
1.946 -0.415 1.158
2.434 0.415 6.686
2.158 -1.766 3.454
4.369 -0.415 2.764
4.157 -1.766 0.468
3.157 -3.418 1.961
```

**Formation energy without anion corrections**: -2.045 eV/atom
**Space-group type**: No. 15
**Crystal system**: monoclinic

---

Record 3
Density functional theory data (PBE) for K2BaSr after structural relaxation.

Structure (POSCAR):
```
K2BaSr
1.0
7.409 -2.174 0.000
7.409 2.174 0.000
-1.026 0.000 8.102
K Ba Sr
2 1 1
Cartesian
0.000 0.000 0.000
2.923 0.000 6.135
10.884 0.000 2.200
6.908 0.000 3.964
```

**Space-group type**: No. 8
**Crystal system**: monoclinic
**Energy relative to the elements**: 2.58 kcal/mol of atoms

---

Record 4
Density functional theory data (PBE) for Zr2ScCdB after structural relaxation.

Structure (POSCAR):
```
Zr2ScCdB
1.0
4.656 0.000 0.000
0.000 4.656 0.000
0.000 0.000 4.677
Zr Sc Cd B
2 1 1 1
Cartesian
0.000 2.328 0.000
2.328 0.000 0.000
0.000 0.000 2.338
2.328 2.328 2.338
0.000 0.000 0.000
```

**Space-group type**: No. 123
**Crystal system**: tetragonal
**Energy relative to the elements**: -5.70 kcal/mol of atoms

---

Record 5
Density functional theory data (PBE) for Ac2ScF after structural relaxation.

Structure (POSCAR):
```
Ac2ScF
1.0
1.806 1.043 10.737
-1.806 1.043 10.737
0.000 -2.085 10.737
Ac Sc F
2 1 1
Cartesian
0.000 0.000 3.378
0.000 0.000 28.832
0.000 0.000 0.000
0.000 0.000 16.105
```

**Formation energy without anion corrections**: -0.760 eV/atom
**Space-group type**: No. 166
**Crystal system**: trigonal

---

Record 6
Density functional theory data (PBE) for Nd2Sm2AlGa4 after structural relaxation.

Structure (POSCAR):
```
Nd2Sm2AlGa4
1.0
-3.557 3.557 4.491
3.557 -3.557 4.491
3.557 3.557 -4.491
Nd Sm Al Ga
2 2 1 4
Cartesian
3.557 0.000 2.245
0.000 3.557 2.245
0.000 0.000 1.669
0.000 0.000 7.312
0.000 0.000 4.491
1.805 1.805 0.000
1.752 -1.752 4.491
-1.752 1.752 4.491
1.752 1.752 4.491
```

**Space-group type**: No. 139
**Crystal system**: tetragonal
**Energy relative to the elements**: -6.74 kcal/mol of atoms

---

Record 7
Density functional theory data (PBE) for Dy2MgCdHg4 after structural relaxation.

Structure (POSCAR):
```
Dy2MgCdHg4
1.0
2.539 1.466 8.298
-2.539 1.466 8.298
0.000 -2.932 8.298
Dy Mg Cd Hg
2 1 1 4
Cartesian
0.000 0.000 6.164
0.000 0.000 18.731
0.000 0.000 0.000
0.000 0.000 12.447
0.000 0.000 3.038
0.000 0.000 9.256
0.000 0.000 15.639
0.000 0.000 21.857
```

**Space-group type**: No. 166
**Crystal system**: trigonal
**Energy relative to the elements**: -9.62 kcal/mol of atoms

---

Record 8
Density functional theory data (PBE) for Mg2ZnRh3 after structural relaxation.

Structure (POSCAR):
```
Mg2ZnRh3
1.0
2.169 -6.526 0.000
2.169 6.526 0.000
0.000 0.000 3.108
Mg Zn Rh
2 1 3
Cartesian
2.169 4.339 0.000
2.169 -4.339 0.000
2.169 0.000 0.000
0.000 0.000 1.554
2.169 2.112 1.554
2.169 -2.112 1.554
```

**Space-group type**: No. 65
**Crystal system**: orthorhombic
**Energy relative to the elements**: -10.26 kcal/mol of atoms

---

Record 9
Density functional theory data (PBE) for TcSnIrOsS after structural relaxation.

Structure (POSCAR):
```
TcSnIrOsS
1.0
4.496 -1.449 0.000
4.496 1.449 0.000
-1.365 0.000 6.732
Tc Sn Ir Os S
1 1 1 1 1
Cartesian
0.000 0.000 0.000
7.400 0.000 3.720
2.377 0.000 1.224
4.861 0.000 2.211
4.828 0.000 6.032
```

**Formation energy without anion corrections**: 0.173 eV/atom
**Space-group type**: No. 8
**Crystal system**: monoclinic

---

Record 10
Density functional theory data (PBE) for LiY2Se after structural relaxation.

Structure (POSCAR):
```
LiY2Se
1.0
-1.883 2.744 5.412
1.883 -2.744 5.412
1.883 2.744 -5.412
Li Y Se
1 2 1
Cartesian
0.000 0.000 0.000
1.883 0.000 3.302
0.000 2.744 2.110
0.000 0.000 5.412
```

**Formation energy without anion corrections**: -0.568 eV/atom
**Space-group type**: No. 71
**Crystal system**: orthorhombic

---

Record 11
Density functional theory data (PBE) for RbMnAgAs after structural relaxation.

Structure (POSCAR):
```
RbMnAgAs
1.0
3.908 0.000 0.000
0.000 3.908 0.000
0.000 0.000 13.306
Rb Mn Ag As
2 2 2 2
Cartesian
0.977 0.977 3.107
2.931 2.931 10.199
0.977 2.931 6.653
2.931 0.977 6.653
0.977 2.931 0.000
2.931 0.977 0.000
0.977 0.977 8.056
2.931 2.931 5.249
```

**Space-group type**: No. 129
**Crystal system**: tetragonal
**Energy relative to the elements**: -3.44 kcal/mol of atoms

---

Record 12
Density functional theory data (PBE) for La2CoN after structural relaxation.

Structure (POSCAR):
```
La2CoN
1.0
-1.814 1.871 7.019
1.814 -1.871 7.019
1.814 1.871 -7.019
La Co N
2 1 1
Cartesian
0.000 0.000 1.709
0.000 0.000 12.329
0.000 0.000 7.019
0.000 1.871 0.000
```

**Formation energy without anion corrections**: -0.631 eV/atom
**Space-group type**: No. 71
**Crystal system**: orthorhombic